# Tb6NiHg2, relaxed, DFT PBE
data_Tb6NiHg2
_symmetry_space_group_name_H-M 'P 1 21/c 1'
_symmetry_Int_Tables_number 14
_symmetry_space_group_name_Hall '-P 2ybc'
_cell_length_a 6.9744
_cell_length_b 7.2351
_cell_length_c 12.2776
_cell_angle_alpha 90.00
_cell_angle_beta 123.74
_cell_angle_gamma 90.00
loop_
_atom_site_label
_atom_site_type_symbol
_atom_site_fract_x
_atom_site_fract_y
_atom_site_fract_z
Tb1 Tb 0.1441 0.0079 0.2528
Tb2 Tb 0.2491 0.6972 0.0522
Tb3 Tb 0.3562 0.2023 0.0477
Ni1 Ni 0.0000 0.0000 0.0000
Hg1 Hg 0.2888 0.0799 0.7544
# Formation energy from the elements (eV per atom): -0.243
# Energy (eV per atom): -4.04